Entry 1:
This record from Alexandria describes a relaxed As2RhIBr crystal. The functional is GGA-PBE.

## Properties
Crystal system   tetragonal
Formation energy (no corrections)   0.3069 eV per atom
Theoretical density   6.16 g/cm3

Structure (CIF):
```
data_As2RhIBr
_cell_length_a 4.899
_cell_length_b 4.899
_cell_length_c 5.160
_cell_angle_alpha 90.00
_cell_angle_beta 90.00
_cell_angle_gamma 90.00
_space_group_name_H-M_alt 'P 4/m m m'
_space_group_IT_number 123
_space_group_name_Hall '-P 4 2'
loop_
_atom_site_label
_atom_site_fract_x
_atom_site_fract_y
_atom_site_fract_z
_atom_site_occupancy
As1 0.000 0.500 0.000 1
Rh1 0.000 0.000 0.000 1
I1 0.500 0.500 0.500 1
Br1 0.000 0.000 0.500 1
```


Entry 2:
This record from Alexandria describes a relaxed PmScGe2 crystal. The functional is GGA-PBE.

## Properties
E_form   -0.585 eV per atom
Crystal system   tetragonal
Theoretical density   6.40 g/cm3

Structure (CIF):
```
data_PmScGe2
_cell_length_a 4.623
_cell_length_b 4.623
_cell_length_c 4.069
_cell_angle_alpha 90.00
_cell_angle_beta 90.00
_cell_angle_gamma 90.00
_space_group_name_H-M_alt 'P 4/m m m'
_space_group_IT_number 123
_space_group_name_Hall '-P 4 2'
loop_
_atom_site_label
_atom_site_fract_x
_atom_site_fract_y
_atom_site_fract_z
_atom_site_occupancy
Pm1 0.000 0.000 0.000 1
Sc1 0.500 0.500 0.000 1
Ge1 0.000 0.500 0.500 1
```


Entry 3:
This record from Alexandria describes a relaxed La2MnTl3Se6 crystal. The functional is GGA-PBE.

## Properties
Crystal system   monoclinic
Formation energy (no corrections)   -1.0548 eV per atom
Theoretical density   6.57 g/cm3

Structure (CIF):
```
data_La2MnTl3Se6
_cell_length_a 7.461
_cell_length_b 12.525
_cell_length_c 8.121
_cell_angle_alpha 90.00
_cell_angle_beta 108.90
_cell_angle_gamma 90.00
_space_group_name_H-M_alt 'C 1 2/m 1'
_space_group_IT_number 12
_space_group_name_Hall '-C 2y'
loop_
_atom_site_label
_atom_site_fract_x
_atom_site_fract_y
_atom_site_fract_z
_atom_site_occupancy
La1 0.000 0.164 0.000 1
Mn1 0.000 0.500 0.000 1
Tl1 0.000 0.000 0.500 1
Tl2 0.000 0.328 0.500 1
Se1 0.210 0.355 0.191 1
Se2 0.247 0.500 0.769 1
```


Q: Look up the theoretical density of the third one.
A: 6.57 g/cm3


Q: Look up the theoretical density of the third one.
A: 6.57 g/cm3


Q: Which formula does entry 3 have?
A: La2MnTl3Se6


Q: Among the records above, which one has the highest theoretical density?
A: La2MnTl3Se6